# NaCaV

A geometry-optimized NaCaV structure (PBE-GGA, the Alexandria database).

Cell lengths 5.7190, 5.7190, 11.7961 Å; angles 90.00, 90.00, 120.00 degrees
With the nearest neighbours (Å) after each atom.
Sites, in units of the cell vectors:
V 0.0000 0.0000 0.5000  2 Ca 2.95
V 0.0000 0.0000 0.0000  2 Ca 2.95
Ca 0.0000 0.0000 0.7500  2 V 2.95, 3 Na 3.30
Ca 0.0000 0.0000 0.2500  2 V 2.95, 3 Na 3.30
Na 0.6667 0.3333 0.7500  3 Ca 3.30
Na 0.3333 0.6667 0.2500  3 Ca 3.30

Output
* SG: P6_3/mmc
* V: 55.7 A^3/atom
* formation enthalpy at 0 K: 1.76 eV/atom
* distance to the lowest polymorph of the same formula: 431 kJ/mol of formula units

# CdOsPb2

A geometry-optimized CdOsPb2 structure (PBE-GGA, the Alexandria database).

Cell lengths 10.6816, 10.6816, 10.6816 Å; angles 17.71, 17.71, 17.71 degrees
With the nearest neighbours (Å) after each atom.
Sites, in units of the cell vectors:
Cd 0.2500 0.2500 0.2500  6 Cd 3.29, 6 Pb 3.64
Pb 0.0152 0.0152 0.0152  3 Os 2.87
Pb 0.4848 0.4848 0.4848  3 Os 2.87
Os 0.7500 0.7500 0.7500  6 Pb 2.87

Output
* SG: R-3m
* V: 24.6 A^3/atom
* formation enthalpy at 0 K: 0.56 eV/atom

# Li2CaTiO4

A geometry-optimized Li2CaTiO4 structure (PBE-GGA, the Alexandria database).

Cell lengths 5.2012, 5.0400, 5.0400 Å; angles 86.28, 58.94, 58.94 degrees
With the nearest neighbours (Å) after each atom.
Sites, in units of the cell vectors:
Ti 0.0000 0.5000 0.5000  4 O 1.84
O 0.5808 0.5640 0.8552  1 Ti 1.84, 2 Li 2.00
O 0.4192 0.1448 0.4360  1 Ti 1.84, 2 Li 2.00
O 0.0000 0.8552 0.5640  1 Ti 1.84, 2 Li 2.00
O 0.0000 0.4360 0.1448  1 Ti 1.84, 2 Li 2.00
Ca 0.0000 0.0000 0.0000  4 O 2.36
Li 0.5000 0.2500 0.7500  4 O 2.00
Li 0.5000 0.7500 0.2500  4 O 2.00

Output
* SG: I-42m
* energy relative to the elements, uncorrected: -2.705 eV/atom
* V: 11.7 A^3/atom

# RbTlCl3

A geometry-optimized RbTlCl3 structure (PBE-GGA, the Alexandria database).

Cell lengths 6.6359, 6.6359, 6.6359 Å; angles 83.82, 83.82, 83.82 degrees
With the nearest neighbours (Å) after each atom.
Sites, in units of the cell vectors:
Cl 0.8477 0.8477 0.2922  1 Tl 2.62
Cl 0.2922 0.8477 0.8477  1 Tl 2.62
Cl 0.8477 0.2922 0.8477  1 Tl 2.62
Rb 0.7895 0.7895 0.7895  6 Cl 3.27-3.47
Tl 0.0980 0.0980 0.0980  3 Cl 2.62

Output
* SG: R3m
* energy relative to the elements, uncorrected: -1.080 eV/atom
* V: 57.5 A^3/atom

# Hf4AgI2

A geometry-optimized Hf4AgI2 structure (PBE-GGA, the Alexandria database).

Cell lengths 5.1752, 5.1752, 8.0526 Å; angles 71.26, 71.26, 90.00 degrees
With the nearest neighbours (Å) after each atom.
Sites, in units of the cell vectors:
I 0.6125 0.6125 0.7751  5 Hf 2.82-3.05
I 0.3875 0.3875 0.2249  5 Hf 2.82-3.05
Hf 0.8088 0.8088 0.3823  1 Ag 2.74, 1 I 2.82
Hf 0.5000 0.0000 0.0000  2 Ag 2.59
Hf 0.0000 0.5000 0.0000  2 Ag 2.59
Hf 0.1912 0.1912 0.6177  1 Ag 2.74, 1 I 2.82
Ag 0.0000 0.0000 0.0000  6 Hf 2.59-2.74

Output
* SG: I4/mmm
* energy relative to the elements, uncorrected: 0.862 eV/atom
* V: 27.4 A^3/atom

# Sm5ErIn2

A geometry-optimized Sm5ErIn2 structure (PBE-GGA, the Alexandria database).

Cell lengths 3.6107, 8.4998, 8.4998 Å; angles 79.81, 77.74, 77.74 degrees
With the nearest neighbours (Å) after each atom.
Sites, in units of the cell vectors:
Er 0.0000 0.0000 0.0000  4 In 3.37, 2 Er 3.61
Sm 0.3629 0.8594 0.4148  3 In 3.23-3.47, 7 Sm 3.41-3.61
Sm 0.3629 0.4148 0.8594  3 In 3.23-3.47, 7 Sm 3.41-3.61
Sm 0.6371 0.1406 0.5852  3 In 3.23-3.47, 7 Sm 3.41-3.61
Sm 0.0000 0.5000 0.5000  2 In 3.42, 10 Sm 3.48-3.61
Sm 0.6371 0.5852 0.1406  3 In 3.23-3.47, 7 Sm 3.41-3.61
In 0.7272 0.7728 0.7728  7 Sm 3.23-3.47, 2 Er 3.37, 2 In 3.61
In 0.2728 0.2272 0.2272  7 Sm 3.23-3.47, 2 Er 3.37, 2 In 3.61

Output
* SG: Immm
* V: 30.8 A^3/atom
* formation enthalpy at 0 K: -0.15 eV/atom
* distance to the lowest polymorph of the same formula: 92 kJ/mol of formula units

We obtain total magnetic moment values of 9.747, 0.001, 0.000, 1.000, 1.547, 0.001 μB/cell for the records listed above, in that order.